(1)
First-principles (PBEsol) data for crystalline LiCa2Se at its relaxed geometry, as listed in Alexandria via LeMat-Bulk.

The uncorrected energy comes out at -12.4 eV/f.u. As for the density of states at the Fermi level: 6.5 states/eV per cell. The calculation puts the uncorrected formation energy at -0.583 eV per atom.

The structure belongs to space group I4/mmm (No. 139); the cell edges are 4.8415, 4.8415 and 8.5859 Å and the angles 90.00°, 90.00° and 90.00°. The inequivalent atoms are Li at (0.0000, 0.0000, 0.0000), Ca at (0.0000, 0.5000, 0.2500) and Se at (0.0000, 0.0000, 0.5000).



(2)
First-principles (PBEsol) data for crystalline Li2Ca2Si at its relaxed geometry, as listed in Alexandria via LeMat-Bulk.

The uncorrected energy comes out at -14.3 eV/f.u. As for the density of states at the Fermi level: 4.8 states/eV per cell. The calculation puts the uncorrected formation energy at -0.078 eV per atom.

The structure belongs to space group I4/mmm (No. 139); the cell edges are 3.6078, 3.6078 and 19.1520 Å and the angles 90.00°, 90.00° and 90.00°. The inequivalent atoms are Li at (0.0000, 0.5000, 0.2500), Ca at (0.0000, 0.0000, 0.0902) and Si at (0.0000, 0.0000, 0.5000).



(3)
First-principles (PBEsol) data for crystalline Li2CaSi2 at its relaxed geometry, as listed in Alexandria via LeMat-Bulk.

The uncorrected energy comes out at -19.3 eV/f.u. As for the density of states at the Fermi level: 3.0 states/eV per cell. The calculation puts the uncorrected formation energy at -0.349 eV per atom.

The structure belongs to space group I4/mmm (No. 139); the cell edges are 4.0884, 4.0884 and 11.3220 Å and the angles 90.00°, 90.00° and 90.00°. The inequivalent atoms are Li at (0.0000, 0.5000, 0.2500), Ca at (0.0000, 0.0000, 0.0000) and Si at (0.0000, 0.0000, 0.4000).



(4)
First-principles (PBEsol) data for crystalline LiCaSi2 at its relaxed geometry, as listed in Alexandria via LeMat-Bulk.

The uncorrected energy comes out at -17.0 eV/f.u. As for the density of states at the Fermi level: 2.0 states/eV per cell. The calculation puts the uncorrected formation energy at -0.353 eV per atom.

The structure belongs to space group Amm2 (No. 38); the cell edges are 3.7889, 4.2002 and 10.5090 Å and the angles 90.00°, 90.00° and 90.00°. The inequivalent atoms are Li at (0.0000, 0.0000, 0.0000), Ca at (0.5000, 0.0000, 0.7253), Si at (0.0000, 0.0000, 0.3108) and Si at (0.5000, 0.0000, 0.4462).



(5)
First-principles (PBEsol) data for crystalline LiCaSi2 at its relaxed geometry, as listed in Alexandria via LeMat-Bulk.

The uncorrected energy comes out at -17.4 eV/f.u. As for the density of states at the Fermi level: 5.5 states/eV per cell. The calculation puts the uncorrected formation energy at -0.440 eV per atom.

The structure belongs to space group Pnma (No. 62); the cell edges are 7.8207, 3.7828 and 10.5351 Å and the angles 90.00°, 90.00° and 90.00°. The inequivalent atoms are Li at (0.0017, 0.2500, 0.1119), Ca at (0.1353, 0.7500, 0.3642), Si at (0.1654, 0.7500, 0.6751) and Si at (0.2317, 0.7500, 0.0673).



(6)
First-principles (PBEsol) data for crystalline Li2CaSn2 at its relaxed geometry, as listed in Alexandria via LeMat-Bulk.

The uncorrected energy comes out at -16.9 eV/f.u. The formation energy is -0.471 eV per atom. As for the density of states at the Fermi level: 4.9 states/eV per cell.

The structure belongs to space group I4/mmm (No. 139); the cell edges are 4.3093, 4.3093 and 12.6767 Å and the angles 90.00°, 90.00° and 90.00°. The inequivalent atoms are Li at (0.0000, 0.5000, 0.2500), Ca at (0.0000, 0.0000, 0.0000) and Sn at (0.0000, 0.0000, 0.3909).



(7)
First-principles (PBEsol) data for crystalline Li2CaSn2 at its relaxed geometry, as listed in Alexandria via LeMat-Bulk.

The uncorrected energy comes out at -16.9 eV/f.u. The formation energy is -0.469 eV per atom. As for the density of states at the Fermi level: 3.3 states/eV per cell.

The structure belongs to space group P4/mbm (No. 127); the cell edges are 8.2644, 8.2644 and 3.1380 Å and the angles 90.00°, 90.00° and 90.00°. The inequivalent atoms are Li at (0.1161, 0.3839, 0.0000), Ca at (0.0000, 0.0000, 0.0000) and Sn at (0.1781, 0.6781, 0.5000).



(8)
First-principles (PBEsol) data for crystalline Li8CaSn7 at its relaxed geometry, as listed in Alexandria via LeMat-Bulk.

The uncorrected energy comes out at -53.8 eV/f.u. The formation energy is -0.382 eV per atom. As for the density of states at the Fermi level: 8.9 states/eV per cell.

The structure belongs to space group Cmcm (No. 63); the cell edges are 4.5738, 26.2602 and 11.3961 Å and the angles 90.00°, 90.00° and 90.00°. The inequivalent atoms are Li at (0.0000, 0.0000, 0.0000), Li at (0.0000, 0.0257, 0.2500), Li at (0.0000, 0.1179, 0.5265), Li at (0.0000, 0.2423, 0.0945), Li at (0.0000, 0.4549, 0.1225), Ca at (0.0000, 0.1430, 0.2500), Sn at (0.0000, 0.0776, 0.7500), Sn at (0.0000, 0.2575, 0.7500), Sn at (0.0000, 0.3271, 0.5498), Sn at (0.0000, 0.3448, 0.2500) and Sn at (0.0000, 0.4332, 0.6216).



(9)
First-principles (PBEsol) data for crystalline LiCaSn3 at its relaxed geometry, as listed in Alexandria via LeMat-Bulk.

The uncorrected energy comes out at -17.7 eV/f.u. The formation energy is -0.168 eV per atom. As for the density of states at the Fermi level: 2.4 states/eV per cell.

The structure belongs to space group Pm-3m (No. 221); the cell edges are 5.0145, 5.0145 and 5.0145 Å and the angles 90.00°, 90.00° and 90.00°. The inequivalent atoms are Li at (0.0000, 0.0000, 0.0000), Ca at (0.5000, 0.5000, 0.5000) and Sn at (0.0000, 0.0000, 0.5000).



(10)
First-principles (PBEsol) data for crystalline SrLiCa2 at its relaxed geometry, as listed in Alexandria via LeMat-Bulk.

The uncorrected energy comes out at -8.0 eV/f.u. The formation energy is 0.016 eV per atom. As for the density of states at the Fermi level: 3.6 states/eV per cell.

The structure belongs to space group P4mm (No. 99); the cell edges are 4.1085, 4.1085 and 9.1141 Å and the angles 90.00°, 90.00° and 90.00°. The inequivalent atoms are Sr at (0.0000, 0.0000, 0.0000), Li at (0.5000, 0.5000, 0.7634), Ca at (0.0000, 0.0000, 0.5670) and Ca at (0.5000, 0.5000, 0.2993).



(11)
First-principles (PBEsol) data for crystalline SrLiCa2 at its relaxed geometry, as listed in Alexandria via LeMat-Bulk.

The uncorrected energy comes out at -8.0 eV/f.u. The formation energy is 0.025 eV per atom. As for the density of states at the Fermi level: 7.8 states/eV per cell.

The structure belongs to space group Immm (No. 71); the cell edges are 4.0696, 6.1705 and 12.3452 Å and the angles 90.00°, 90.00° and 90.00°. The inequivalent atoms are Sr at (0.0000, 0.0000, 0.0000), Li at (0.0000, 0.0000, 0.5000) and Ca at (0.0000, 0.5000, 0.2183).



(12)
First-principles (PBEsol) data for crystalline SrLiCa2 at its relaxed geometry, as listed in Alexandria via LeMat-Bulk.

The uncorrected energy comes out at -7.7 eV/f.u. The formation energy is 0.082 eV per atom. As for the density of states at the Fermi level: 16.3 states/eV per cell.

The structure belongs to space group F-43m (No. 216); the cell edges are 8.5671, 8.5671 and 8.5671 Å and the angles 90.00°, 90.00° and 90.00°. The inequivalent atoms are Sr at (0.0000, 0.0000, 0.0000), Li at (0.2500, 0.2500, 0.7500), Ca at (0.0000, 0.0000, 0.5000) and Ca at (0.2500, 0.2500, 0.2500).



(13)
First-principles (PBEsol) data for crystalline SrLiCa2 at its relaxed geometry, as listed in Alexandria via LeMat-Bulk.

The uncorrected energy comes out at -7.8 eV/f.u. The formation energy is 0.071 eV per atom. As for the density of states at the Fermi level: 3.0 states/eV per cell.

The structure belongs to space group P2/m (No. 10); the cell edges are 3.8516, 5.7977 and 7.3280 Å and the angles 90.00°, 104.70° and 90.00°. The inequivalent atoms are Sr at (0.0000, 0.0000, 0.0000), Li at (0.5000, 0.0000, 0.5000) and Ca at (0.3264, 0.5000, 0.7315).



(14)
First-principles (PBEsol) data for crystalline SrLiCa2 at its relaxed geometry, as listed in Alexandria via LeMat-Bulk.

The uncorrected energy comes out at -7.8 eV/f.u. The formation energy is 0.079 eV per atom. As for the density of states at the Fermi level: 12.1 states/eV per cell.

The structure belongs to space group R3m (No. 160, hexagonal axes); the cell edges are 3.9087, 3.9087 and 35.9659 Å and the angles 90.00°, 90.00° and 120.00°. The inequivalent atoms are Sr at (0.0000, 0.0000, 0.0000), Li at (0.0000, 0.0000, 0.2531), Ca at (0.0000, 0.0000, 0.5120) and Ca at (0.0000, 0.0000, 0.7585).



(15)
First-principles (PBEsol) data for crystalline SrLiCa2 at its relaxed geometry, as listed in Alexandria via LeMat-Bulk.

The uncorrected energy comes out at -7.8 eV/f.u. The formation energy is 0.060 eV per atom. As for the density of states at the Fermi level: 3.7 states/eV per cell.

The structure belongs to space group P2/m (No. 10); the cell edges are 5.9183, 4.3486 and 6.0877 Å and the angles 90.00°, 90.07° and 90.00°. The inequivalent atoms are Sr at (0.0000, 0.0000, 0.0000), Li at (0.5000, 0.5000, 0.0000), Ca at (0.0000, 0.5000, 0.5000) and Ca at (0.5000, 0.0000, 0.5000).



(16)
First-principles (PBEsol) data for crystalline SrLiCa2 at its relaxed geometry, as listed in Alexandria via LeMat-Bulk.

The uncorrected energy comes out at -7.6 eV/f.u. The formation energy is 0.112 eV per atom. As for the density of states at the Fermi level: 9.1 states/eV per cell.

The structure belongs to space group Cmmm (No. 65); the cell edges are 7.5705, 10.8876 and 3.8968 Å and the angles 90.00°, 90.00° and 90.00°. The inequivalent atoms are Sr at (0.0000, 0.0000, 0.0000), Li at (0.0000, 0.5000, 0.0000) and Ca at (0.2500, 0.2500, 0.5000).



(17)
First-principles (PBEsol) data for crystalline SrLiCa2 at its relaxed geometry, as listed in Alexandria via LeMat-Bulk.

The uncorrected energy comes out at -7.8 eV/f.u. The formation energy is 0.067 eV per atom. As for the density of states at the Fermi level: 4.0 states/eV per cell.

The structure belongs to space group P4/mmm (No. 123); the cell edges are 5.2516, 5.2516 and 5.6729 Å and the angles 90.00°, 90.00° and 90.00°. The inequivalent atoms are Sr at (0.0000, 0.0000, 0.0000), Li at (0.5000, 0.5000, 0.0000) and Ca at (0.0000, 0.5000, 0.5000).



(18)
First-principles (PBEsol) data for crystalline SrLiCa2 at its relaxed geometry, as listed in Alexandria via LeMat-Bulk.

The uncorrected energy comes out at -7.8 eV/f.u. The formation energy is 0.079 eV per atom. As for the density of states at the Fermi level: 11.7 states/eV per cell.

The structure belongs to space group R-3m (No. 166, hexagonal axes); the cell edges are 3.9113, 3.9113 and 35.7872 Å and the angles 90.00°, 90.00° and 120.00°. The inequivalent atoms are Sr at (0.0000, 0.0000, 0.0000), Li at (0.0000, 0.0000, 0.5000) and Ca at (0.0000, 0.0000, 0.2405).



(19)
First-principles (PBEsol) data for crystalline SrLiCa2 at its relaxed geometry, as listed in Alexandria via LeMat-Bulk.

The uncorrected energy comes out at -7.7 eV/f.u. The formation energy is 0.081 eV per atom. As for the density of states at the Fermi level: 7.6 states/eV per cell.

The structure belongs to space group I-4m2 (No. 119); the cell edges are 5.4152, 5.4152 and 10.7187 Å and the angles 90.00°, 90.00° and 90.00°. The inequivalent atoms are Sr at (0.0000, 0.0000, 0.0000), Li at (0.0000, 0.5000, 0.7500), Ca at (0.0000, 0.0000, 0.5000) and Ca at (0.0000, 0.5000, 0.2500).



(20)
First-principles (PBEsol) data for crystalline SrLiCa2 at its relaxed geometry, as listed in Alexandria via LeMat-Bulk.

The uncorrected energy comes out at -7.8 eV/f.u. The formation energy is 0.069 eV per atom. As for the density of states at the Fermi level: 3.6 states/eV per cell.

The structure belongs to space group Pm (No. 6); the cell edges are 3.8696, 5.6821 and 7.4679 Å and the angles 90.00°, 104.92° and 90.00°. The inequivalent atoms are Sr at (0.0000, 0.0000, 0.0000), Li at (0.4591, 0.5000, 0.7742), Ca at (0.1926, 0.0000, 0.5226) and Ca at (0.6113, 0.5000, 0.2977).



For the records above, the corresponding ρ values read 2740, 1627, 1933, 2049, 2199, 4111, 4515, 4496, 5309, 1886, 1872, 1846, 1833, 1829, 1852, 1807, 1854, 1836, 1846, 1829 kg/m3.